No. 1
A plane-wave DFT calculation with GGA-PBEsol was carried out for KLiP2O after structural relaxation.

Structure (POSCAR):
```
KLiP2O
1.0
-1.467 2.554 -3.528
1.969 -4.099 -3.785
-5.250 -2.719 0.214
Li K O P
1 1 1 2
Cartesian
-2.374 -2.132 -3.550 Li
0.000 0.000 0.000 K
-0.733 1.277 -1.764 O
0.984 -2.049 -1.893 P
-2.625 -1.360 0.107 P
```

Uncorrected formation energy: 6.46 eV/f.u.
Crystal system: tetragonal
Space-group type: P4/mmm, No. 123
D(E_F): 3.193 states/eV/cell
E: -2.70 eV per atom



No. 2
A plane-wave DFT calculation with GGA-PBEsol was carried out for K2LiTa6P3O24 after structural relaxation.

Structure (POSCAR):
```
K2LiTa6P3O24
1.0
8.416 -0.003 -0.002
-2.060 8.143 0.016
-2.060 -2.601 7.719
O K Ta P Li
24 2 6 3 1
Cartesian
1.355 0.450 4.262 O
3.291 5.760 5.251 O
-2.848 6.556 3.785 O
0.932 4.452 4.919 O
-2.022 6.475 1.188 O
-0.501 -2.151 6.514 O
5.881 2.634 2.275 O
3.479 2.222 1.796 O
0.984 2.411 0.516 O
4.121 3.944 3.495 O
2.219 4.013 7.176 O
1.145 0.140 6.734 O
4.502 4.391 1.037 O
2.825 1.746 5.809 O
2.065 -0.021 1.583 O
-0.209 6.014 3.315 O
2.100 -2.330 7.407 O
4.776 3.528 6.119 O
0.052 3.589 2.748 O
-1.544 4.247 4.579 O
7.076 3.962 0.181 O
6.804 1.229 0.018 O
-0.543 0.846 2.397 O
3.210 -0.725 5.473 O
-0.787 2.473 6.955 K
5.167 -0.217 3.218 K
3.738 2.775 7.512 Ta
1.752 5.723 6.520 Ta
0.568 -0.637 2.718 Ta
-0.748 2.454 1.256 Ta
2.551 1.217 0.257 Ta
5.078 5.159 5.032 Ta
2.138 0.379 5.585 P
4.511 3.315 2.137 P
-0.210 4.592 3.885 P
2.559 3.323 4.583 Li
```

Uncorrected formation energy: -95.83 eV/f.u.
Crystal system: triclinic
Space-group type: P1, No. 1
D(E_F): 0.000 states/eV/cell
E: -8.85 eV per atom



No. 3
A plane-wave DFT calculation with GGA-PBEsol was carried out for KLiSO4 after structural relaxation.

Structure (POSCAR):
```
KLiSO4
1.0
-0.843 5.040 -0.075
0.125 -2.636 -4.377
-8.533 -1.418 0.611
O S Li K
8 2 2 2
Cartesian
-7.171 2.801 -1.079 O
-2.385 0.297 -1.590 O
-6.903 0.683 -2.249 O
-4.282 -0.756 -2.651 O
-2.117 -1.820 -2.760 O
-2.546 0.219 -4.017 O
-6.742 0.762 0.178 O
-8.871 1.094 -0.911 O
-7.410 1.337 -1.016 S
-2.821 -0.513 -2.755 S
-6.152 -1.066 -2.517 Li
-2.207 2.201 -1.388 Li
-4.351 -0.723 0.312 K
-0.084 -0.014 0.006 K
```

Uncorrected formation energy: -13.59 eV/f.u.
Crystal system: hexagonal
Space-group type: P6_3, No. 173
D(E_F): 0.000 states/eV/cell
E: -6.01 eV per atom



No. 4
A plane-wave DFT calculation with GGA-PBEsol was carried out for KLiSb3O8 after structural relaxation.

Structure (POSCAR):
```
KLiSb3O8
1.0
6.383 0.033 -0.006
1.683 7.345 0.003
1.503 0.210 7.617
Li Sb O K
2 6 16 2
Cartesian
6.421 3.909 1.766 Li
4.872 5.825 3.767 Li
1.656 1.438 3.575 Sb
3.200 3.921 1.461 Sb
4.804 1.510 3.651 Sb
8.041 6.136 3.879 Sb
6.381 3.754 6.343 Sb
3.202 3.765 6.352 Sb
4.630 4.671 5.411 O
1.779 4.795 0.323 O
4.673 4.785 0.424 O
3.170 7.179 4.722 O
6.586 5.409 2.920 O
6.387 0.533 2.611 O
6.704 7.327 4.899 O
6.454 2.391 4.448 O
8.125 4.929 5.480 O
1.704 2.898 2.284 O
3.218 2.254 4.777 O
3.176 5.322 2.836 O
4.672 2.782 7.447 O
3.266 0.585 2.735 O
4.732 2.935 2.303 O
8.160 2.728 7.096 O
6.363 6.873 0.612 K
4.724 7.338 6.858 K
```

Uncorrected formation energy: -20.06 eV/f.u.
Crystal system: triclinic
Space-group type: P1, No. 1
D(E_F): 0.602 states/eV/cell
E: -6.06 eV per atom



No. 5
A plane-wave DFT calculation with GGA-PBEsol was carried out for K3LiSiO4 after structural relaxation.

Structure (POSCAR):
```
K3LiSiO4
1.0
9.713 0.000 0.000
0.000 11.248 0.019
0.000 -5.143 10.002
Si K Li O
8 24 8 32
Cartesian
8.641 4.523 7.844 Si
1.231 -1.356 7.339 Si
3.626 6.839 2.348 Si
6.087 -0.735 7.674 Si
5.929 1.471 2.833 Si
1.073 1.581 2.177 Si
8.483 7.461 2.682 Si
3.784 4.634 7.188 Si
0.866 7.209 5.450 K
0.795 -4.187 8.917 K
2.627 1.602 8.416 K
7.361 -3.226 9.741 K
5.723 1.948 9.582 K
2.230 -1.450 3.405 K
7.086 4.502 1.606 K
0.782 4.325 0.598 K
5.712 9.973 0.959 K
7.209 4.970 4.749 K
5.639 -1.272 4.413 K
5.651 2.097 6.096 K
8.847 -1.105 4.572 K
8.918 10.292 1.105 K
4.002 -3.868 9.062 K
4.062 4.008 3.925 K
8.858 1.778 5.951 K
2.504 1.135 5.272 K
4.074 7.377 5.609 K
7.484 7.555 6.616 K
3.991 4.157 0.439 K
8.931 1.780 9.424 K
0.855 4.327 4.071 K
2.352 9.330 0.281 K
6.181 4.648 7.848 Li
1.168 6.888 2.359 Li
6.025 7.412 2.671 Li
8.545 -0.783 7.662 Li
1.325 4.509 7.184 Li
8.389 1.596 2.837 Li
3.688 -1.307 7.351 Li
3.532 1.457 2.174 Li
7.477 7.860 1.426 O
2.887 3.423 6.498 O
5.421 -2.245 7.431 O
4.625 1.057 3.760 O
7.744 5.734 8.535 O
0.410 1.144 3.644 O
9.482 1.995 1.250 O
0.084 8.455 2.804 O
2.144 2.829 2.382 O
7.093 -0.336 6.418 O
2.236 -1.755 8.595 O
9.149 5.951 2.439 O
6.826 2.682 3.524 O
0.564 0.154 7.582 O
4.292 8.349 2.590 O
7.508 7.538 4.020 O
4.773 0.260 7.796 O
5.267 1.908 1.367 O
2.205 -1.434 6.001 O
0.232 4.109 8.771 O
7.569 3.276 7.640 O
4.446 4.196 8.654 O
2.651 6.762 1.009 O
7.062 -0.657 9.012 O
5.088 5.048 6.261 O
4.940 5.845 2.226 O
7.001 0.224 2.629 O
9.303 4.961 6.378 O
9.629 -2.351 7.217 O
2.712 5.881 7.392 O
1.969 0.370 1.487 O
2.620 6.440 3.604 O
```

Uncorrected formation energy: -19.41 eV/f.u.
Crystal system: monoclinic
Space-group type: P2_1/c, No. 14
D(E_F): 0.000 states/eV/cell
E: -5.72 eV per atom



No. 6
A plane-wave DFT calculation with GGA-PBEsol was carried out for K2LiVO4 after structural relaxation.

Structure (POSCAR):
```
K2LiVO4
1.0
-1.709 -3.473 -4.131
4.257 1.361 -3.474
4.114 -5.478 2.941
O K V Li
8 4 2 2
Cartesian
6.042 -4.956 -2.102 O
0.620 -2.633 -2.562 O
5.769 -6.520 -4.415 O
2.772 -0.890 -2.325 O
3.890 -6.700 -2.339 O
0.894 -1.069 -0.249 O
2.667 -3.193 -0.720 O
3.996 -4.396 -3.944 O
2.509 -2.441 -4.825 K
4.153 -5.148 0.161 K
1.643 -5.163 -2.518 K
5.020 -2.427 -2.146 K
1.741 -1.952 -1.454 V
4.921 -5.638 -3.210 V
3.205 0.508 -3.590 Li
-0.656 -2.620 -4.015 Li
```

Uncorrected formation energy: -18.07 eV/f.u.
Crystal system: monoclinic
Space-group type: C2/m, No. 12
D(E_F): 0.000 states/eV/cell
E: -6.62 eV per atom